The following is a DFT calculation (meta-GGA SCAN) of Mo2OsBr at its PBEsol-relaxed geometry.

Properties
The energy above the most stable polymorph in this dataset comes out at 0.000 eV/atom. Its uncorrected formation energy is 0.679 eV/atom. Its space group is P4mm. The calculation puts the total moment at 0.00 μB/cell.

a = 3.0367 Å, b = 3.0367 Å, c = 6.8735 Å
α = 90.00°, β = 90.00°, γ = 90.00°
Sites, in units of the cell vectors:
Mo 0.0000 0.0000 0.0000
Mo 0.5000 0.5000 0.2610
Os 0.0000 0.0000 0.4703
Br 0.5000 0.5000 0.7721